Record 1
Below is a relaxed structure of LiDy2Bi, with properties calculated at the GGA-PBE level.

POSCAR file:
```
LiDy2Bi
1.0
3.472 0.000 0.000
1.736 3.007 0.000
1.736 1.002 11.564
Li Bi Dy
1 1 2
Cartesian
3.472 2.004 5.782
0.000 0.000 0.000
1.736 1.002 8.426
5.208 3.007 3.138
```

Calculated values
- Space-group type: R-3m, No. 166
- ΔH_f (0 K): 122 meV per atom


Record 2
Below is a relaxed structure of LiDy3Bi3, with properties calculated at the GGA-PBE level.

POSCAR file:
```
LiDy3Bi3
1.0
-3.565 4.923 -6.769
-1.018 -3.683 -8.256
-7.236 -1.549 -3.429
Li Dy Bi
2 6 6
Cartesian
-1.625 0.380 -4.981
-10.193 -0.689 -13.473
-7.513 -2.401 -11.608
-8.404 2.466 -8.783
-6.122 -2.010 -6.097
-5.697 1.701 -12.357
-3.415 -2.775 -9.671
-4.306 2.092 -6.846
-3.374 -0.889 -7.206
-5.403 3.113 -9.564
-4.623 -1.200 -12.108
-7.195 0.891 -6.346
-6.416 -3.422 -8.890
-8.445 0.580 -11.248
```

Calculated values
- Space-group type: R-3, No. 148
- ΔH_f (0 K): -608 meV per atom


Record 3
Below is a relaxed structure of LiDyNiBi, with properties calculated at the GGA-PBE level.

POSCAR file:
```
LiDyNiBi
1.0
4.761 0.000 0.000
2.380 4.123 0.000
2.380 1.374 3.887
Ni Li Bi Dy
1 1 1 1
Cartesian
2.380 1.374 0.972
7.141 4.123 2.915
0.000 0.000 0.000
4.761 2.749 1.944
```

Calculated values
- Space-group type: F-43m, No. 216
- ΔH_f (0 K): -344 meV per atom


Record 4
Below is a relaxed structure of LiDyBiO, with properties calculated at the GGA-PBE level.

POSCAR file:
```
LiDyBiO
1.0
4.700 0.000 0.000
0.000 4.305 0.000
0.000 0.000 4.509
Li Dy Bi O
1 1 1 1
Cartesian
0.000 0.000 2.254
0.000 2.153 0.000
2.350 2.153 2.254
0.000 0.000 0.000
```

Calculated values
- Space-group type: Pmmm, No. 47
- Formation energy without anion corrections: -1413 meV per atom


Record 5
Below is a relaxed structure of LiDyBi2O5, with properties calculated at the GGA-PBE level.

POSCAR file:
```
LiDyBi2O5
1.0
-1.884 -0.800 -2.768
6.839 1.124 -2.840
2.296 -10.354 1.429
Li Dy Bi O
2 2 4 10
Cartesian
1.374 -10.699 0.015
7.001 -4.406 -3.493
3.640 -5.019 -3.169
4.699 -9.923 -0.332
5.494 -7.673 -3.664
3.206 -6.905 -0.187
1.793 -2.526 -0.491
3.751 -1.804 -4.173
4.357 0.061 -2.984
3.349 -8.945 -1.837
7.620 -7.568 -3.001
4.811 -6.179 -1.490
5.533 -5.602 -4.289
1.950 -5.838 -1.782
4.373 -3.217 -2.048
-0.143 -3.487 -1.036
1.918 -1.500 -3.013
0.862 -0.574 -0.421
```

Calculated values
- Space-group type: Cmc2_1, No. 36
- Formation energy without anion corrections: -1930 meV per atom


Record 6
Below is a relaxed structure of LiPmDyBi, with properties calculated at the GGA-PBE level.

POSCAR file:
```
LiPmDyBi
1.0
-2.619 -4.107 -2.239
2.066 -2.483 -4.278
1.928 -4.980 0.463
Pm Li Bi Dy
1 1 1 1
Cartesian
0.344 -2.893 -1.513
0.000 0.000 0.000
0.688 -5.785 -3.027
1.031 -8.678 -4.540
```

Calculated values
- Space-group type: F-43m, No. 216
- ΔH_f (0 K): -331 meV per atom


Record 7
Below is a relaxed structure of Li2Pm2DyBi2, with properties calculated at the GGA-PBE level.

POSCAR file:
```
Li2Pm2DyBi2
1.0
4.914 0.000 0.000
2.457 4.256 0.000
2.457 1.419 8.995
Li Pm Dy Bi
2 2 1 2
Cartesian
4.914 2.837 1.915
4.914 2.837 7.080
2.457 1.419 5.501
7.371 4.256 3.493
0.000 0.000 0.000
7.371 4.256 7.232
2.457 1.419 1.762
```

Calculated values
- Space-group type: R-3m, No. 166
- ΔH_f (0 K): -419 meV per atom


Record 8
Below is a relaxed structure of LiPrDyBi, with properties calculated at the GGA-PBE level.

POSCAR file:
```
LiPrDyBi
1.0
5.400 0.000 0.000
2.700 4.676 0.000
2.700 1.559 4.409
Pr Li Bi Dy
1 1 1 1
Cartesian
2.700 1.559 1.102
0.000 0.000 0.000
5.400 3.117 2.204
8.099 4.676 3.307
```

Calculated values
- Space-group type: F-43m, No. 216
- ΔH_f (0 K): -338 meV per atom


Record 9
Below is a relaxed structure of LiDyBiPt, with properties calculated at the GGA-PBE level.

POSCAR file:
```
LiDyBiPt
1.0
-1.865 3.091 3.345
-0.834 -1.557 4.594
2.818 1.618 3.697
Li Bi Pt Dy
1 1 1 1
Cartesian
0.089 2.364 8.727
0.059 1.576 5.818
0.030 0.788 2.909
0.000 0.000 0.000
```

Calculated values
- Space-group type: F-43m, No. 216
- ΔH_f (0 K): -650 meV per atom


Record 10
Below is a relaxed structure of LiDyBiRh, with properties calculated at the GGA-PBE level.

POSCAR file:
```
LiDyBiRh
1.0
4.792 0.000 0.000
2.396 4.150 0.000
2.396 1.383 3.913
Li Rh Bi Dy
1 1 1 1
Cartesian
4.792 2.767 1.957
0.000 0.000 0.000
2.396 1.383 0.978
7.189 4.150 2.935
```

Calculated values
- Space-group type: F-43m, No. 216
- ΔH_f (0 K): -666 meV per atom


Record 11
Below is a relaxed structure of LiDyBiRu, with properties calculated at the GGA-PBE level.

POSCAR file:
```
LiDyBiRu
1.0
4.794 0.000 0.000
2.397 4.152 0.000
2.397 1.384 3.914
Ru Li Bi Dy
1 1 1 1
Cartesian
7.191 4.152 2.936
2.397 1.384 0.979
0.000 0.000 0.000
4.794 2.768 1.957
```

Calculated values
- Space-group type: F-43m, No. 216
- ΔH_f (0 K): -325 meV per atom


Record 12
Below is a relaxed structure of LiDyBi2S4, with properties calculated at the GGA-PBE level.

POSCAR file:
```
LiDyBi2S4
1.0
3.858 0.000 0.000
0.000 6.702 -0.729
0.000 -3.395 7.669
Li Dy Bi S
1 1 2 4
Cartesian
0.000 0.000 0.000
1.929 3.351 -0.365
1.929 -1.698 3.835
0.000 1.654 3.470
1.929 1.327 1.433
1.929 1.980 5.507
0.000 -1.455 5.949
0.000 4.762 0.991
```

Calculated values
- Space-group type: P2/m, No. 10
- Formation energy without anion corrections: -885 meV per atom


Record 13
Below is a relaxed structure of LiDyBi2Se4, with properties calculated at the GGA-PBE level.

POSCAR file:
```
LiDyBi2Se4
1.0
-3.333 1.929 1.273
-3.173 0.120 -8.494
-1.247 -5.557 5.157
Li Dy Bi Se
1 1 2 4
Cartesian
0.000 0.000 0.000
-3.253 1.024 -3.611
-2.290 -1.814 3.215
-2.210 -2.719 -1.668
-2.741 0.114 -0.890
-5.012 -3.623 -1.174
-1.762 -3.738 1.049
-2.657 -1.699 -4.385
```

Calculated values
- Space-group type: P2/m, No. 10
- Formation energy without anion corrections: -821 meV per atom


Record 14
Below is a relaxed structure of Li2DyBiSe4, with properties calculated at the GGA-PBE level.

POSCAR file:
```
Li2DyBiSe4
1.0
-0.319 3.841 -1.411
-2.996 -2.388 -5.826
-7.086 -0.281 0.836
Li Dy Bi Se
2 1 1 4
Cartesian
-7.086 -0.281 0.836
-3.702 1.780 -0.287
-5.041 -1.334 -2.495
-1.657 0.727 -3.618
-7.521 -2.026 -3.818
-2.880 3.198 -2.583
-4.217 0.047 -4.890
-6.184 1.125 -1.511
```

Calculated values
- Space-group type: P2/m, No. 10
- Formation energy without anion corrections: -1206 meV per atom


Record 15
Below is a relaxed structure of Li3DyBi2Se6, with properties calculated at the GGA-PBE level.

POSCAR file:
```
Li3DyBi2Se6
1.0
7.148 -0.009 0.002
-3.580 6.187 0.002
-1.189 -2.058 6.573
Li Dy Bi Se
3 1 2 6
Cartesian
-2.253 4.049 3.289
4.633 0.072 3.289
1.190 2.060 3.289
0.000 0.000 0.000
0.011 4.113 0.002
3.557 2.065 0.002
3.548 2.103 4.869
2.400 4.155 1.714
-1.168 2.017 1.709
0.049 4.124 4.869
-0.020 -0.035 4.863
2.331 -0.004 1.709
```

Calculated values
- Space-group type: C2/m, No. 12
- Formation energy without anion corrections: -1047 meV per atom


Record 16
Below is a relaxed structure of Li2SmDy2Bi2, with properties calculated at the GGA-PBE level.

POSCAR file:
```
Li2SmDy2Bi2
1.0
-0.804 4.678 1.176
-3.689 2.445 -2.080
-6.936 -0.220 6.296
Li Sm Dy Bi
2 1 2 2
Cartesian
-4.293 4.130 0.971
-7.137 2.773 4.421
0.000 0.000 0.000
-4.787 0.805 3.689
-6.642 6.098 1.703
-8.801 5.068 4.322
-2.629 1.835 1.071
```

Calculated values
- Space-group type: R-3m, No. 166
- ΔH_f (0 K): -396 meV per atom


Record 17
Below is a relaxed structure of Sr2Li3DyBi4, with properties calculated at the GGA-PBE level.

POSCAR file:
```
Sr2Li3DyBi4
1.0
4.955 0.000 0.000
0.000 4.955 0.000
0.000 0.000 12.072
Sr Li Dy Bi
2 3 1 4
Cartesian
2.478 0.000 2.668
0.000 2.478 9.404
0.000 0.000 6.036
2.478 0.000 10.619
0.000 2.478 1.454
2.478 2.478 6.036
2.478 2.478 0.000
0.000 0.000 0.000
2.478 0.000 7.852
0.000 2.478 4.220
```

Calculated values
- Space-group type: P-4m2, No. 115
- ΔH_f (0 K): -664 meV per atom


Record 18
Below is a relaxed structure of Li2DyBiTe4, with properties calculated at the GGA-PBE level.

POSCAR file:
```
Li2DyBiTe4
1.0
-3.211 2.460 -1.689
-4.270 -6.124 -0.800
-4.145 -1.090 6.293
Li Dy Bi Te
2 1 1 4
Cartesian
-4.145 -1.090 6.293
-3.678 0.685 2.302
-4.207 -3.607 2.747
-7.885 -2.922 5.049
-6.327 -5.472 4.060
-5.299 0.718 -0.256
-5.877 -3.675 0.132
-5.749 -1.079 3.672
```

Calculated values
- Space-group type: P2/m, No. 10
- Formation energy without anion corrections: -899 meV per atom


Record 19
Below is a relaxed structure of LiDyTlBi, with properties calculated at the GGA-PBE level.

POSCAR file:
```
LiDyTlBi
1.0
-2.774 0.160 -4.533
-0.450 -4.368 -2.997
-4.671 -2.515 -0.349
Tl Li Bi Dy
1 1 1 1
Cartesian
-1.974 -1.681 -1.970
0.000 0.000 0.000
-5.921 -5.042 -5.909
-3.947 -3.362 -3.939
```

Calculated values
- Space-group type: F-43m, No. 216
- ΔH_f (0 K): -343 meV per atom


Record 20
Below is a relaxed structure of LiDyYBi, with properties calculated at the GGA-PBE level.

POSCAR file:
```
LiDyYBi
1.0
-4.804 -2.077 -0.891
-0.544 -4.095 -3.335
-1.200 -4.816 1.884
Y Li Bi Dy
1 1 1 1
Cartesian
-3.274 -5.494 -1.171
-4.911 -8.241 -1.757
-1.637 -2.747 -0.586
0.000 0.000 0.000
```

Calculated values
- Space-group type: F-43m, No. 216
- ΔH_f (0 K): -310 meV per atom


Record 21
Below is a relaxed structure of Dy2LuBi, with properties calculated at the GGA-PBE level.

POSCAR file:
```
Dy2LuBi
1.0
4.832 0.000 0.000
0.000 4.834 0.000
0.000 0.000 4.834
Lu Bi Dy
1 1 2
Cartesian
2.416 2.417 2.417
2.416 0.000 0.000
0.000 0.000 2.417
0.000 2.417 0.000
```

Calculated values
- Space-group type: P4/mmm, No. 123
- ΔH_f (0 K): -308 meV per atom


Record 22
Below is a relaxed structure of Dy2LuBi, with properties calculated at the GGA-PBE level.

POSCAR file:
```
Dy2LuBi
1.0
-2.550 3.267 -0.511
-0.999 -1.376 -3.814
-5.067 -3.547 2.607
Lu Bi Dy
1 1 2
Cartesian
-4.308 -0.828 -0.859
-1.775 0.946 -2.162
-3.837 -2.686 1.974
-1.230 -0.861 0.633
```

Calculated values
- Space-group type: P4/mmm, No. 123
- ΔH_f (0 K): -363 meV per atom


Record 23
Below is a relaxed structure of DyLuBi, with properties calculated at the GGA-PBE level.

POSCAR file:
```
DyLuBi
1.0
3.790 0.000 0.000
0.000 5.224 0.000
0.000 -2.612 4.525
Lu Bi Dy
1 1 1
Cartesian
0.967 2.612 1.508
0.093 0.000 0.000
2.729 0.000 3.016
```

Calculated values
- Space-group type: P3m1, No. 156
- ΔH_f (0 K): -234 meV per atom


Record 24
Below is a relaxed structure of DyLuBi, with properties calculated at the GGA-PBE level.

POSCAR file:
```
DyLuBi
1.0
-1.108 3.090 -2.282
-2.174 -2.463 -2.279
-2.635 0.508 5.471
Lu Bi Dy
1 1 1
Cartesian
-2.337 0.449 1.744
-2.660 0.510 -1.520
-5.555 1.066 0.641
```

Calculated values
- Space-group type: I4mm, No. 107
- ΔH_f (0 K): -424 meV per atom


Record 25
Below is a relaxed structure of Dy8MgBi6, with properties calculated at the GGA-PBE level.

POSCAR file:
```
Dy8MgBi6
1.0
9.246 0.000 0.000
4.623 8.007 0.000
4.623 2.669 6.409
Dy Mg Bi
8 1 6
Cartesian
7.986 2.223 1.780
11.314 2.689 4.630
5.918 4.872 4.630
13.869 8.007 6.374
4.623 2.669 0.035
12.574 5.805 1.780
7.178 7.987 1.780
10.506 8.453 4.630
0.000 0.000 0.000
8.103 2.662 4.923
10.992 3.010 1.487
6.357 4.990 1.487
12.135 5.686 4.923
7.500 7.666 4.923
10.389 8.014 1.487
```

Calculated values
- Space-group type: R-3, No. 148
- ΔH_f (0 K): -547 meV per atom


Record 26
Below is a relaxed structure of Dy2MgBi, with properties calculated at the GGA-PBE level.

POSCAR file:
```
Dy2MgBi
1.0
-1.575 -3.690 -0.535
3.568 -1.323 -1.377
1.810 -1.688 6.312
Mg Bi Dy
1 1 2
Cartesian
1.902 -3.351 2.200
0.997 -2.507 -0.956
1.362 -1.270 4.749
0.448 -0.418 1.563
```

Calculated values
- Space-group type: P4/mmm, No. 123
- ΔH_f (0 K): -403 meV per atom


| no. | magnetization (μB per formula unit) |
| --- | --- |
| 1 | 0.000 |
| 2 | 0.000 |
| 3 | 0.000 |
| 4 | 0.000 |
| 5 | 0.000 |
| 6 | 0.000 |
| 7 | 0.003 |
| 8 | 0.001 |
| 9 | 0.000 |
| 10 | 0.000 |
| 11 | 0.000 |
| 12 | 0.000 |
| 13 | 0.000 |
| 14 | 0.000 |
| 15 | 0.000 |
| 16 | 1.080 |
| 17 | 0.000 |
| 18 | 0.000 |
| 19 | 0.000 |
| 20 | 0.000 |
| 21 | 0.006 |
| 22 | 0.001 |
| 23 | 0.000 |
| 24 | 1.028 |
| 25 | 0.001 |
| 26 | 0.464 |